The following is a GGA-PBE calculation of a relaxed SmTmTi crystal, from the Alexandria database.

Output
The space group is No. 129. Its polymorph energy (0 for the lowest one) is 0 meV per atom.

Cell lengths 3.554, 3.554, 12.833 Å; angles 90.00, 90.00, 90.00 degrees
Sites, in units of the cell vectors:
Sm 0.250 0.250 0.099
Sm 0.750 0.750 0.901
Tm 0.250 0.250 0.694
Tm 0.750 0.750 0.306
Ti 0.250 0.250 0.457
Ti 0.750 0.750 0.543